# 1
The following is a PBE calculation of TiHg3O after structural relaxation, from Alexandria.

a b c (Å): 5.416 5.416 5.416
angles (deg): 90.00 90.00 90.00
Element x y z (fractional)
Hg: 0.000 0.500 0.000
Hg: 0.500 0.000 0.000
Hg: 0.000 0.000 0.500
Ti: 0.000 0.000 0.000
O: 0.500 0.500 0.500

Values from the calculation:
As for the mass density: 7.0 g cm⁻³. Its energy relative to the lowest polymorph listed for this composition is 1.41 eV/f.u. Its density of states at the Fermi level is 1.407 states/eV/atom. The space-group type is Pm-3m. As for the total magnetization: 1.96 μB per cell.

=====

# 2
The following is a PBE calculation of Ce2CrCo9 after structural relaxation, from Alexandria.

a b c (Å): 4.805 4.805 8.703
angles (deg): 73.98 73.98 60.00
Element x y z (fractional)
Cr: 0.000 0.000 0.000
Ce: 0.863 0.863 0.411
Ce: 0.137 0.137 0.589
Co: 0.422 0.920 0.237
Co: 0.578 0.578 0.763
Co: 0.667 0.667 0.000
Co: 0.333 0.333 0.000
Co: 0.578 0.080 0.763
Co: 0.080 0.578 0.763
Co: 0.500 0.500 0.500
Co: 0.422 0.422 0.237
Co: 0.920 0.422 0.237

Values from the calculation:
As for the mass density: 8.7 g cm⁻³. The value obtained for the electronic total energy is -85.1 eV per cell. Its density of states at the Fermi level is 1.650 states/eV/atom. The space-group type is R-3m. As for the total magnetization: 4.55 μB per cell.

=====

# 3
The following is a PBE calculation of Zn5In3Br12 after structural relaxation, from Alexandria.

a b c (Å): 14.865 14.865 14.865
angles (deg): 109.47 109.47 109.47
Element x y z (fractional)
In: 0.125 0.250 0.875
In: 0.875 0.750 0.125
In: 0.875 0.125 0.250
In: 0.250 0.625 0.875
In: 0.625 0.250 0.375
In: 0.750 0.375 0.125
In: 0.625 0.375 0.750
In: 0.250 0.125 0.375
In: 0.750 0.875 0.625
In: 0.375 0.750 0.625
In: 0.375 0.625 0.250
In: 0.125 0.875 0.750
Br: 0.303 0.889 0.986
Br: 0.389 0.403 0.086
Br: 0.197 0.514 0.611
Br: 0.403 0.014 0.316
Br: 0.803 0.316 0.914
Br: 0.986 0.597 0.184
Br: 0.597 0.986 0.684
Br: 0.303 0.414 0.816
Br: 0.986 0.389 0.303
Br: 0.184 0.086 0.697
Br: 0.414 0.111 0.597
Br: 0.086 0.903 0.389
Br: 0.389 0.986 0.803
Br: 0.684 0.486 0.597
Br: 0.816 0.914 0.303
Br: 0.014 0.403 0.816
Br: 0.889 0.586 0.903
Br: 0.816 0.903 0.014
Br: 0.316 0.514 0.403
Br: 0.197 0.684 0.086
Br: 0.889 0.303 0.486
Br: 0.086 0.184 0.197
Br: 0.586 0.697 0.684
Br: 0.697 0.586 0.184
Br: 0.914 0.097 0.611
Br: 0.486 0.803 0.889
Br: 0.611 0.597 0.914
Br: 0.014 0.611 0.697
Br: 0.914 0.816 0.803
Br: 0.903 0.816 0.514
Br: 0.803 0.486 0.389
Br: 0.097 0.184 0.486
Br: 0.684 0.197 0.586
Br: 0.097 0.914 0.111
Br: 0.111 0.414 0.097
Br: 0.316 0.803 0.414
Br: 0.611 0.014 0.197
Br: 0.903 0.086 0.889
Br: 0.514 0.197 0.111
Br: 0.111 0.697 0.514
Br: 0.597 0.611 0.414
Br: 0.514 0.316 0.903
Br: 0.586 0.889 0.403
Br: 0.414 0.303 0.316
Br: 0.697 0.111 0.014
Br: 0.486 0.684 0.097
Br: 0.403 0.389 0.586
Br: 0.184 0.097 0.986
Zn: 0.875 0.625 0.750
Zn: 0.500 0.000 0.000
Zn: 0.750 0.625 0.375
Zn: 0.000 0.500 0.000
Zn: 0.500 0.500 0.500
Zn: 0.000 0.500 0.500
Zn: 0.750 0.125 0.875
Zn: 0.250 0.375 0.625
Zn: 0.250 0.875 0.125
Zn: 0.500 0.500 0.000
Zn: 0.125 0.750 0.375
Zn: 0.875 0.250 0.625
Zn: 0.625 0.875 0.250
Zn: 0.375 0.250 0.125
Zn: 0.000 0.000 0.500
Zn: 0.125 0.375 0.250
Zn: 0.375 0.125 0.750
Zn: 0.500 0.000 0.500
Zn: 0.000 0.000 0.000
Zn: 0.625 0.750 0.875

Values from the calculation:
As for the mass density: 4.3 g cm⁻³. The value obtained for the electronic total energy is -193.9 eV per cell. Its density of states at the Fermi level is 0.136 states/eV/atom. The space-group type is Ia-3d. As for the total magnetization: 0.00 μB per cell.

=====

# 4
The following is a PBE calculation of Dy3Er2Ni2 after structural relaxation, from Alexandria.

a b c (Å): 3.594 6.298 8.908
angles (deg): 115.29 90.00 106.58
Element x y z (fractional)
Ni: 0.174 0.349 0.238
Ni: 0.826 0.651 0.762
Dy: 0.385 0.770 0.566
Dy: 0.615 0.230 0.434
Dy: 0.500 0.000 0.000
Er: 0.833 0.666 0.188
Er: 0.167 0.334 0.812

Values from the calculation:
As for the mass density: 9.0 g cm⁻³. The value obtained for the electronic total energy is -36.3 eV per cell. Its density of states at the Fermi level is 1.348 states/eV/atom. The space-group type is C2/m. As for the total magnetization: 0.00 μB per cell.

=====

# 5
The following is a PBE calculation of Sc8Co2Rh after structural relaxation, from Alexandria.

a b c (Å): 5.150 6.959 6.959
angles (deg): 111.75 99.30 99.30
Element x y z (fractional)
Sc: 0.813 0.636 0.636
Sc: 0.000 0.227 0.779
Sc: 0.187 0.370 0.370
Sc: 0.000 0.779 0.227
Sc: 0.595 0.333 0.073
Sc: 0.405 0.674 0.933
Sc: 0.595 0.073 0.333
Sc: 0.405 0.933 0.674
Rh: 0.999 0.003 0.003
Co: 0.500 0.691 0.315
Co: 0.500 0.315 0.691

Values from the calculation:
As for the mass density: 4.3 g cm⁻³. Its energy relative to the lowest polymorph listed for this composition is 0.80 eV/f.u. Its density of states at the Fermi level is 1.072 states/eV/atom. The space-group type is Cm. As for the total magnetization: 0.00 μB per cell.

=====

# 6
The following is a PBE calculation of In2Pd2Au after structural relaxation, from Alexandria.

a b c (Å): 7.716 7.716 3.162
angles (deg): 90.00 90.00 90.00
Element x y z (fractional)
Pd: 0.360 0.140 0.500
Pd: 0.640 0.860 0.500
Pd: 0.860 0.360 0.500
Pd: 0.140 0.640 0.500
Au: 0.500 0.500 0.000
Au: 0.000 0.000 0.000
In: 0.344 0.844 0.000
In: 0.656 0.156 0.000
In: 0.844 0.656 0.000
In: 0.156 0.344 0.000

Values from the calculation:
As for the mass density: 11.3 g cm⁻³. Its energy relative to the lowest polymorph listed for this composition is 0.30 eV/f.u. Its density of states at the Fermi level is 0.274 states/eV/atom. The space-group type is P4/mbm. As for the total magnetization: 0.00 μB per cell.

=====

# 7
The following is a PBE calculation of ScZn after structural relaxation, from Alexandria.

a b c (Å): 3.293 3.293 8.670
angles (deg): 90.00 90.00 120.00
Element x y z (fractional)
Sc: 0.667 0.333 0.750
Sc: 0.333 0.667 0.250
Zn: 0.000 0.000 0.500
Zn: 0.000 0.000 0.000

Values from the calculation:
As for the mass density: 4.5 g cm⁻³. The value obtained for the electronic total energy is -15.8 eV per cell. Its density of states at the Fermi level is 0.789 states/eV/atom. The space-group type is P6_3/mmc. As for the total magnetization: 0.00 μB per cell.

=====

# 8
The following is a PBE calculation of NaLiBSe2 after structural relaxation, from Alexandria.

a b c (Å): 4.827 6.651 7.440
angles (deg): 116.55 90.00 90.00
Element x y z (fractional)
Se: 0.227 0.385 0.770
Se: 0.227 0.115 0.230
Se: 0.773 0.615 0.230
Se: 0.773 0.885 0.770
B: 0.000 0.000 0.000
B: 0.000 0.500 0.000
Li: 0.500 0.750 0.000
Li: 0.500 0.250 0.000
Na: 0.248 0.750 0.500
Na: 0.752 0.250 0.500

Values from the calculation:
As for the mass density: 3.1 g cm⁻³. The value obtained for the electronic total energy is -36.8 eV per cell. Its density of states at the Fermi level is 0.485 states/eV/atom. The space-group type is Cmme. As for the total magnetization: 0.00 μB per cell.

=====

# 9
The following is a PBE calculation of NaCd2Hg6 after structural relaxation, from Alexandria.

a b c (Å): 6.434 8.856 8.856
angles (deg): 86.16 74.21 74.21
Element x y z (fractional)
Hg: 0.238 0.450 0.026
Hg: 0.262 0.974 0.550
Hg: 0.696 0.220 0.022
Hg: 0.762 0.550 0.974
Hg: 0.516 0.356 0.646
Hg: 0.484 0.644 0.354
Hg: 0.196 0.022 0.220
Hg: 0.304 0.780 0.978
Hg: 0.984 0.354 0.644
Hg: 0.738 0.026 0.450
Hg: 0.016 0.646 0.356
Hg: 0.804 0.978 0.780
Cd: 0.146 0.657 0.710
Cd: 0.354 0.290 0.343
Cd: 0.646 0.710 0.657
Cd: 0.854 0.343 0.290
Na: 0.250 0.132 0.868
Na: 0.750 0.868 0.132

Values from the calculation:
As for the mass density: 10.3 g cm⁻³. Its energy relative to the lowest polymorph listed for this composition is 0.05 eV/f.u. Its density of states at the Fermi level is 0.342 states/eV/atom. The space-group type is C2/c. As for the total magnetization: 0.00 μB per cell.

=====

# 10
The following is a PBE calculation of Si2IrSI after structural relaxation, from Alexandria.

a b c (Å): 5.134 4.312 5.134
angles (deg): 90.00 90.00 90.00
Element x y z (fractional)
Ir: 0.000 0.500 0.000
S: 0.000 0.000 0.000
Si: 0.500 0.000 0.000
Si: 0.000 0.000 0.500
I: 0.500 0.500 0.500

Values from the calculation:
As for the mass density: 6.0 g cm⁻³. The value obtained for the electronic total energy is -20.8 eV per cell. Its density of states at the Fermi level is 0.483 states/eV/atom. The space-group type is P4/mmm. As for the total magnetization: 0.00 μB per cell.

=====

# 11
The following is a PBE calculation of HoTl2GaI6 after structural relaxation, from Alexandria.

a b c (Å): 8.489 8.489 8.757
angles (deg): 60.99 60.99 59.97
Element x y z (fractional)
I: 0.455 0.671 0.772
I: 0.986 0.569 0.258
I: 0.671 0.102 0.773
I: 0.188 0.986 0.258
I: 0.568 0.188 0.258
I: 0.102 0.455 0.773
Tl: 0.020 0.020 0.940
Tl: 0.528 0.528 0.416
Ho: 0.325 0.325 0.026
Ga: 0.819 0.819 0.542

Values from the calculation:
As for the mass density: 5.2 g cm⁻³. The value obtained for the electronic total energy is -30.4 eV per cell. Its density of states at the Fermi level is 0.000 states/eV/atom. The space-group type is R3. As for the total magnetization: 0.00 μB per cell.

=====

# 12
The following is a PBE calculation of Re2PbBr after structural relaxation, from Alexandria.

a b c (Å): 5.248 3.637 5.393
angles (deg): 87.08 90.00 90.00
Element x y z (fractional)
Re: 0.000 0.505 0.612
Re: 0.000 0.995 0.888
Br: 0.500 0.250 0.250
Pb: 0.500 0.750 0.750

Values from the calculation:
As for the mass density: 10.7 g cm⁻³. Its energy relative to the lowest polymorph listed for this composition is 3.24 eV/f.u. Its density of states at the Fermi level is 0.702 states/eV/atom. The space-group type is P2/m. As for the total magnetization: 0.00 μB per cell.